[1]
{
  "formula": "Cs2TeSBr6",
  "functional": "GGA-PBE",
  "state": "optimized geometry",
  "lattice_angstrom": [[-4.0423, 4.0423, 5.4998], [4.0423, -4.0423, 5.4998], [4.0423, 4.0423, -5.4998]],
  "species": ["Cs", "Cs", "Te", "S", "Br", "Br", "Br", "Br", "Br", "Br"],
  "fractional_positions": [[0.2500, 0.7500, 0.5000], [0.7500, 0.2500, 0.5000], [0.0000, 0.0000, 0.0000], [0.5000, 0.5000, 0.0000], [0.2465, 0.2465, 0.4930], [0.2465, 0.7535, 0.0000], [0.2607, 0.2607, 0.0000], [0.7393, 0.7393, 0.0000], [0.7535, 0.2465, 0.0000], [0.7535, 0.7535, 0.5070]],
  "spacegroup": "No. 139"
}



[2]
{
  "formula": "CsTeSBr2",
  "functional": "GGA-PBE",
  "state": "optimized geometry",
  "lattice_angstrom": [[5.9662, 0.0000, 0.0000], [0.0000, 5.9662, 0.0000], [0.0000, 0.0000, 5.0726]],
  "species": ["Cs", "Te", "S", "Br", "Br"],
  "fractional_positions": [[0.0000, 0.0000, 0.0000], [0.5000, 0.5000, 0.5000], [0.5000, 0.5000, 0.0000], [0.0000, 0.5000, 0.5000], [0.5000, 0.0000, 0.5000]],
  "spacegroup": "No. 123"
}



[3]
{
  "formula": "Cs2TlSBr6",
  "functional": "GGA-PBE",
  "state": "optimized geometry",
  "lattice_angstrom": [[-3.9443, 3.9443, 6.0654], [3.9443, -3.9443, 6.0654], [3.9443, 3.9443, -6.0654]],
  "species": ["Cs", "Cs", "Tl", "S", "Br", "Br", "Br", "Br", "Br", "Br"],
  "fractional_positions": [[0.2500, 0.7500, 0.5000], [0.7500, 0.2500, 0.5000], [0.0000, 0.0000, 0.0000], [0.5000, 0.5000, 0.0000], [0.2396, 0.2396, 0.0000], [0.2744, 0.2744, 0.5489], [0.2744, 0.7256, 0.0000], [0.7256, 0.2744, 0.0000], [0.7256, 0.7256, 0.4511], [0.7604, 0.7604, 0.0000]],
  "spacegroup": "No. 139"
}



[4]
{
  "formula": "Cs2Tl2SBr2",
  "functional": "GGA-PBE",
  "state": "optimized geometry",
  "lattice_angstrom": [[7.1134, -2.4638, 0.0000], [7.1134, 2.4638, 0.0000], [-4.8959, 0.0000, 8.3370]],
  "species": ["Cs", "Cs", "Tl", "Tl", "S", "Br", "Br"],
  "fractional_positions": [[0.0541, 0.0541, 0.3081], [0.9459, 0.9459, 0.6919], [0.2885, 0.2885, 0.9133], [0.7115, 0.7115, 0.0867], [0.5000, 0.5000, 0.0000], [0.3241, 0.3241, 0.3493], [0.6759, 0.6759, 0.6507]],
  "spacegroup": "No. 12"
}



[5]
{
  "formula": "Cs3U2S5Br2",
  "functional": "GGA-PBE",
  "state": "optimized geometry",
  "lattice_angstrom": [[-2.6391, 2.6391, 14.6463], [2.6391, -2.6391, 14.6463], [2.6391, 2.6391, -14.6463]],
  "species": ["Cs", "Cs", "Cs", "U", "U", "S", "S", "S", "S", "S", "Br", "Br"],
  "fractional_positions": [[0.0000, 0.0000, 0.0000], [0.1794, 0.1794, 0.0000], [0.8206, 0.8206, 0.0000], [0.4110, 0.4110, 0.0000], [0.5890, 0.5890, 0.0000], [0.0925, 0.5925, 0.5000], [0.4075, 0.9075, 0.5000], [0.5000, 0.5000, 0.0000], [0.5925, 0.0925, 0.5000], [0.9075, 0.4075, 0.5000], [0.3095, 0.3095, 0.0000], [0.6905, 0.6905, 0.0000]],
  "spacegroup": "No. 139"
}



[6]
{
  "formula": "Cs2YSBr6",
  "functional": "GGA-PBE",
  "state": "optimized geometry",
  "lattice_angstrom": [[-3.8958, 3.8958, 6.5368], [3.8958, -3.8958, 6.5368], [3.8958, 3.8958, -6.5368]],
  "species": ["Cs", "Cs", "Y", "S", "Br", "Br", "Br", "Br", "Br", "Br"],
  "fractional_positions": [[0.2500, 0.7500, 0.5000], [0.7500, 0.2500, 0.5000], [0.0000, 0.0000, 0.0000], [0.5000, 0.5000, 0.0000], [0.2127, 0.2127, 0.0000], [0.2553, 0.2553, 0.5106], [0.2553, 0.7447, 0.0000], [0.7447, 0.2553, 0.0000], [0.7447, 0.7447, 0.4894], [0.7873, 0.7873, 0.0000]],
  "spacegroup": "No. 139"
}



[7]
{
  "formula": "Cs2ZrSBr6",
  "functional": "GGA-PBE",
  "state": "optimized geometry",
  "lattice_angstrom": [[-4.0627, 4.0627, 6.2751], [4.0627, -4.0627, 6.2751], [4.0627, 4.0627, -6.2751]],
  "species": ["Cs", "Cs", "Zr", "S", "Br", "Br", "Br", "Br", "Br", "Br"],
  "fractional_positions": [[0.2500, 0.7500, 0.5000], [0.7500, 0.2500, 0.5000], [0.0000, 0.0000, 0.0000], [0.5000, 0.5000, 0.0000], [0.2116, 0.2116, 0.0000], [0.2309, 0.2309, 0.4618], [0.2309, 0.7691, 0.0000], [0.7691, 0.2309, 0.0000], [0.7691, 0.7691, 0.5382], [0.7884, 0.7884, 0.0000]],
  "spacegroup": "No. 139"
}



[8]
{
  "formula": "CsSbBr5",
  "functional": "GGA-PBE",
  "state": "optimized geometry",
  "lattice_angstrom": [[7.2386, -3.9106, 0.0000], [7.2386, 3.9106, 0.0000], [-4.3727, 0.0000, 10.3674]],
  "species": ["Cs", "Cs", "Sb", "Sb", "Br", "Br", "Br", "Br", "Br", "Br", "Br", "Br", "Br", "Br"],
  "fractional_positions": [[0.9999, 0.0001, 0.2500], [0.0001, 0.9999, 0.7500], [0.5000, 0.5000, 0.0000], [0.5000, 0.5000, 0.5000], [0.1154, 0.6058, 0.9302], [0.1163, 0.6026, 0.4298], [0.3942, 0.8846, 0.5698], [0.3974, 0.8837, 0.0702], [0.4998, 0.5002, 0.2500], [0.5002, 0.4998, 0.7500], [0.6026, 0.1163, 0.9298], [0.6058, 0.1154, 0.4302], [0.8837, 0.3974, 0.5702], [0.8846, 0.3942, 0.0698]],
  "spacegroup": "No. 15"
}



[9]
{
  "formula": "CsSbBr5",
  "functional": "GGA-PBE",
  "state": "optimized geometry",
  "lattice_angstrom": [[-4.2223, 5.7307, 3.5853], [4.2223, -5.7307, 3.5853], [4.2223, 5.7307, -3.5853]],
  "species": ["Cs", "Sb", "Br", "Br", "Br", "Br", "Br"],
  "fractional_positions": [[0.0000, 0.0000, 0.0000], [0.5051, 0.0051, 0.5000], [0.1382, 0.6382, 0.5000], [0.4972, 0.1958, 0.3013], [0.5062, 0.3250, 0.8188], [0.5062, 0.6874, 0.1812], [0.8945, 0.1958, 0.6987]],
  "spacegroup": "No. 44"
}



[10]
{
  "formula": "Cs12Sb3Br5",
  "functional": "GGA-PBE",
  "state": "optimized geometry",
  "lattice_angstrom": [[-10.8682, 10.8682, 10.8682], [10.8682, -10.8682, 10.8682], [10.8682, 10.8682, -10.8682]],
  "species": ["Cs", "Cs", "Cs", "Cs", "Cs", "Cs", "Cs", "Cs", "Cs", "Cs", "Cs", "Cs", "Cs", "Cs", "Cs", "Cs", "Cs", "Cs", "Cs", "Cs", "Cs", "Cs", "Cs", "Cs", "Cs", "Cs", "Cs", "Cs", "Cs", "Cs", "Cs", "Cs", "Cs", "Cs", "Cs", "Cs", "Cs", "Cs", "Cs", "Cs", "Cs", "Cs", "Cs", "Cs", "Cs", "Cs", "Cs", "Cs", "Sb", "Sb", "Sb", "Sb", "Sb", "Sb", "Sb", "Sb", "Sb", "Sb", "Sb", "Sb", "Br", "Br", "Br", "Br", "Br", "Br", "Br", "Br", "Br", "Br", "Br", "Br", "Br", "Br", "Br", "Br", "Br", "Br", "Br", "Br"],
  "fractional_positions": [[0.0508, 0.2218, 0.1375], [0.0508, 0.3290, 0.9133], [0.0843, 0.7218, 0.6710], [0.0843, 0.8625, 0.4133], [0.0867, 0.6375, 0.4157], [0.0867, 0.9492, 0.6710], [0.1375, 0.0508, 0.2218], [0.1375, 0.5867, 0.9157], [0.1710, 0.2218, 0.5843], [0.1710, 0.4492, 0.5867], [0.2218, 0.1375, 0.0508], [0.2218, 0.5843, 0.1710], [0.2782, 0.3290, 0.9157], [0.2782, 0.4492, 0.3625], [0.3290, 0.9133, 0.0508], [0.3290, 0.9157, 0.2782], [0.3625, 0.2782, 0.4492], [0.3625, 0.5843, 0.9133], [0.4133, 0.0843, 0.8625], [0.4133, 0.8290, 0.5508], [0.4157, 0.0867, 0.6375], [0.4157, 0.8290, 0.7782], [0.4492, 0.3625, 0.2782], [0.4492, 0.5867, 0.1710], [0.5508, 0.4133, 0.8290], [0.5508, 0.6375, 0.7218], [0.5843, 0.1710, 0.2218], [0.5843, 0.9133, 0.3625], [0.5867, 0.1710, 0.4492], [0.5867, 0.9157, 0.1375], [0.6375, 0.4157, 0.0867], [0.6375, 0.7218, 0.5508], [0.6710, 0.0843, 0.7218], [0.6710, 0.0867, 0.9492], [0.7218, 0.5508, 0.6375], [0.7218, 0.6710, 0.0843], [0.7782, 0.4157, 0.8290], [0.7782, 0.8625, 0.9492], [0.8290, 0.5508, 0.4133], [0.8290, 0.7782, 0.4157], [0.8625, 0.4133, 0.0843], [0.8625, 0.9492, 0.7782], [0.9133, 0.0508, 0.3290], [0.9133, 0.3625, 0.5843], [0.9157, 0.1375, 0.5867], [0.9157, 0.2782, 0.3290], [0.9492, 0.6710, 0.0867], [0.9492, 0.7782, 0.8625], [0.1250, 0.2500, 0.3750], [0.1250, 0.3750, 0.7500], [0.2500, 0.3750, 0.1250], [0.2500, 0.8750, 0.6250], [0.3750, 0.1250, 0.2500], [0.3750, 0.7500, 0.1250], [0.6250, 0.2500, 0.8750], [0.6250, 0.8750, 0.7500], [0.7500, 0.1250, 0.3750], [0.7500, 0.6250, 0.8750], [0.8750, 0.6250, 0.2500], [0.8750, 0.7500, 0.6250], [0.0000, 0.0000, 0.0000], [0.0000, 0.0000, 0.5000], [0.0000, 0.5000, 0.0000], [0.0000, 0.5000, 0.5000], [0.1250, 0.7500, 0.8750], [0.1250, 0.8750, 0.2500], [0.2500, 0.1250, 0.8750], [0.2500, 0.6250, 0.3750], [0.3750, 0.2500, 0.6250], [0.3750, 0.6250, 0.7500], [0.5000, 0.0000, 0.0000], [0.5000, 0.0000, 0.5000], [0.5000, 0.5000, 0.0000], [0.5000, 0.5000, 0.5000], [0.6250, 0.3750, 0.2500], [0.6250, 0.7500, 0.3750], [0.7500, 0.3750, 0.6250], [0.7500, 0.8750, 0.1250], [0.8750, 0.1250, 0.7500], [0.8750, 0.2500, 0.1250]],
  "spacegroup": "No. 230"
}



[11]
{
  "formula": "Cs4SbBr",
  "functional": "GGA-PBE",
  "state": "optimized geometry",
  "lattice_angstrom": [[5.8982, -8.3798, 0.0000], [5.8982, 8.3798, 0.0000], [-4.8473, 0.0000, 7.2830]],
  "species": ["Cs", "Cs", "Cs", "Cs", "Cs", "Cs", "Cs", "Cs", "Sb", "Sb", "Br", "Br"],
  "fractional_positions": [[0.0522, 0.7017, 0.9343], [0.2541, 0.3562, 0.7508], [0.2983, 0.9478, 0.5657], [0.3562, 0.2541, 0.2508], [0.6438, 0.7459, 0.7492], [0.7017, 0.0522, 0.4343], [0.7459, 0.6438, 0.2492], [0.9478, 0.2983, 0.0657], [0.3628, 0.6372, 0.2500], [0.6372, 0.3628, 0.7500], [0.0149, 0.9851, 0.7500], [0.9851, 0.0149, 0.2500]],
  "spacegroup": "No. 15"
}



[12]
{
  "formula": "Cs2SbBr",
  "functional": "GGA-PBE",
  "state": "optimized geometry",
  "lattice_angstrom": [[0.0000, 4.5911, 4.5911], [4.5911, 0.0000, 4.5911], [4.5911, 4.5911, 0.0000]],
  "species": ["Cs", "Cs", "Sb", "Br"],
  "fractional_positions": [[0.2500, 0.2500, 0.2500], [0.7500, 0.7500, 0.7500], [0.0000, 0.0000, 0.0000], [0.5000, 0.5000, 0.5000]],
  "spacegroup": "No. 225"
}



Sequential total energy output: -2.6798 -2.9760 -2.6730 -3.0549 -5.5693 -3.4983 -3.6171 -2.7474 -2.7441 -2.5446 -2.3477 -2.5258 eV per atom
Sequential energy relative to the elements, uncorrected output: -778 -682 -849 -1067 -1476 -1265 -1175 -842 -838 -996 -813 -650 meV per atom
Sequential DOS at the Fermi energy output: 2.6 2.1 3.3 0.0 14.1 2.2 0.0 6.5 3.4 78.1 11.3 6.6 states/eV per cell